# PBE Sr3LiEu, relaxed
# energy relative to the elements	0.185	eV/atom
# crystal system	cubic
# uncorrected energy	-0.240	Ry per atom
# calculated volume	255	Å³/f.u.
data_Sr3LiEu
_chemical_formula_sum 'Sr3 Li1 Eu1'
_cell_length_a 6.3438
_cell_length_b 6.3438
_cell_length_c 6.3438
_cell_angle_alpha 90.00
_cell_angle_beta 90.00
_cell_angle_gamma 90.00
_symmetry_space_group_name_H-M 'P m -3 m'
_symmetry_Int_Tables_number 221
_symmetry_space_group_name_Hall '-P 4 2 3'
loop_
_atom_site_label
_atom_site_type_symbol
_atom_site_fract_x
_atom_site_fract_y
_atom_site_fract_z
_atom_site_occupancy
Sr1 Sr 0.0000 0.0000 0.5000 1
Li1 Li 0.0000 0.0000 0.0000 1
Eu1 Eu 0.5000 0.5000 0.5000 1


# PBE SrLi2Eu, relaxed
# energy above the most stable polymorph in this dataset	0.00	eV per formula unit
# energy relative to the elements	0.050	eV/atom
# crystal system	tetragonal
# uncorrected energy	-0.286	Ry per atom
# calculated volume	141	Å³/f.u.
data_SrLi2Eu
_chemical_formula_sum 'Sr1 Li2 Eu1'
_cell_length_a 4.1171
_cell_length_b 4.1171
_cell_length_c 8.3342
_cell_angle_alpha 90.00
_cell_angle_beta 90.00
_cell_angle_gamma 90.00
_symmetry_space_group_name_H-M 'P 4/m m m'
_symmetry_Int_Tables_number 123
_symmetry_space_group_name_Hall '-P 4 2'
loop_
_atom_site_label
_atom_site_type_symbol
_atom_site_fract_x
_atom_site_fract_y
_atom_site_fract_z
_atom_site_occupancy
Sr1 Sr 0.0000 0.0000 0.0000 1
Li1 Li 0.5000 0.5000 0.2628 1
Eu1 Eu 0.0000 0.0000 0.5000 1


# PBE SrLi2Eu, relaxed
# energy above the most stable polymorph in this dataset	0.02	eV per formula unit
# energy relative to the elements	0.054	eV/atom
# crystal system	cubic
# uncorrected energy	-0.286	Ry per atom
# calculated volume	142	Å³/f.u.
data_SrLi2Eu
_chemical_formula_sum 'Sr4 Li8 Eu4'
_cell_length_a 8.2835
_cell_length_b 8.2835
_cell_length_c 8.2835
_cell_angle_alpha 90.00
_cell_angle_beta 90.00
_cell_angle_gamma 90.00
_symmetry_space_group_name_H-M 'F m -3 m'
_symmetry_Int_Tables_number 225
_symmetry_space_group_name_Hall '-F 4 2 3'
loop_
_atom_site_label
_atom_site_type_symbol
_atom_site_fract_x
_atom_site_fract_y
_atom_site_fract_z
_atom_site_occupancy
Sr1 Sr 0.0000 0.0000 0.0000 1
Li1 Li 0.2500 0.2500 0.2500 1
Eu1 Eu 0.0000 0.0000 0.5000 1


# PBE SrLiEu4, relaxed
# energy relative to the elements	0.214	eV/atom
# crystal system	cubic
# uncorrected energy	-0.532	Ry per atom
# calculated volume	274	Å³/f.u.
data_SrLiEu4
_chemical_formula_sum 'Sr4 Li4 Eu16'
_cell_length_a 10.3101
_cell_length_b 10.3101
_cell_length_c 10.3101
_cell_angle_alpha 90.00
_cell_angle_beta 90.00
_cell_angle_gamma 90.00
_symmetry_space_group_name_H-M 'F -4 3 m'
_symmetry_Int_Tables_number 216
_symmetry_space_group_name_Hall 'F -4 2 3'
loop_
_atom_site_label
_atom_site_type_symbol
_atom_site_fract_x
_atom_site_fract_y
_atom_site_fract_z
_atom_site_occupancy
Sr1 Sr 0.0000 0.0000 0.0000 1
Li1 Li 0.2500 0.2500 0.2500 1
Eu1 Eu 0.1247 0.1247 0.6247 1


# PBE SrLiEu3, relaxed
# energy relative to the elements	0.193	eV/atom
# crystal system	cubic
# uncorrected energy	-0.492	Ry per atom
# calculated volume	224	Å³/f.u.
data_SrLiEu3
_chemical_formula_sum 'Sr1 Li1 Eu3'
_cell_length_a 6.0727
_cell_length_b 6.0727
_cell_length_c 6.0727
_cell_angle_alpha 90.00
_cell_angle_beta 90.00
_cell_angle_gamma 90.00
_symmetry_space_group_name_H-M 'P m -3 m'
_symmetry_Int_Tables_number 221
_symmetry_space_group_name_Hall '-P 4 2 3'
loop_
_atom_site_label
_atom_site_type_symbol
_atom_site_fract_x
_atom_site_fract_y
_atom_site_fract_z
_atom_site_occupancy
Sr1 Sr 0.0000 0.0000 0.0000 1
Li1 Li 0.5000 0.5000 0.5000 1
Eu1 Eu 0.0000 0.5000 0.5000 1


# PBE SrLi4Eu, relaxed
# energy relative to the elements	0.019	eV/atom
# crystal system	cubic
# uncorrected energy	-0.239	Ry per atom
# calculated volume	181	Å³/f.u.
data_SrLi4Eu
_chemical_formula_sum 'Sr4 Li16 Eu4'
_cell_length_a 8.9750
_cell_length_b 8.9750
_cell_length_c 8.9750
_cell_angle_alpha 90.00
_cell_angle_beta 90.00
_cell_angle_gamma 90.00
_symmetry_space_group_name_H-M 'F -4 3 m'
_symmetry_Int_Tables_number 216
_symmetry_space_group_name_Hall 'F -4 2 3'
loop_
_atom_site_label
_atom_site_type_symbol
_atom_site_fract_x
_atom_site_fract_y
_atom_site_fract_z
_atom_site_occupancy
Sr1 Sr 0.0000 0.0000 0.0000 1
Li1 Li 0.1245 0.1245 0.6245 1
Eu1 Eu 0.2500 0.2500 0.2500 1


# PBE SrLiEuTl, relaxed
# energy relative to the elements	-0.225	eV/atom
# crystal system	cubic
# uncorrected energy	-0.315	Ry per atom
# calculated volume	132	Å³/f.u.
data_SrLiEuTl
_chemical_formula_sum 'Sr4 Li4 Eu4 Tl4'
_cell_length_a 8.0768
_cell_length_b 8.0768
_cell_length_c 8.0768
_cell_angle_alpha 90.00
_cell_angle_beta 90.00
_cell_angle_gamma 90.00
_symmetry_space_group_name_H-M 'F -4 3 m'
_symmetry_Int_Tables_number 216
_symmetry_space_group_name_Hall 'F -4 2 3'
loop_
_atom_site_label
_atom_site_type_symbol
_atom_site_fract_x
_atom_site_fract_y
_atom_site_fract_z
_atom_site_occupancy
Sr1 Sr 0.0000 0.0000 0.0000 1
Li1 Li 0.2500 0.2500 0.2500 1
Eu1 Eu 0.0000 0.0000 0.5000 1
Tl1 Tl 0.2500 0.2500 0.7500 1


# PBE LiTb2Eu, relaxed
# energy above the most stable polymorph in this dataset	0.00	eV per formula unit
# energy relative to the elements	0.133	eV/atom
# crystal system	tetragonal
# uncorrected energy	-0.384	Ry per atom
# calculated volume	123	Å³/f.u.
data_LiTb2Eu
_chemical_formula_sum 'Li1 Tb2 Eu1'
_cell_length_a 3.6972
_cell_length_b 3.6972
_cell_length_c 8.9821
_cell_angle_alpha 90.00
_cell_angle_beta 90.00
_cell_angle_gamma 90.00
_symmetry_space_group_name_H-M 'P 4/m m m'
_symmetry_Int_Tables_number 123
_symmetry_space_group_name_Hall '-P 4 2'
loop_
_atom_site_label
_atom_site_type_symbol
_atom_site_fract_x
_atom_site_fract_y
_atom_site_fract_z
_atom_site_occupancy
Li1 Li 0.0000 0.0000 0.0000 1
Tb1 Tb 0.5000 0.5000 0.2042 1
Eu1 Eu 0.0000 0.0000 0.5000 1


Question: What is the uncorrected energy in the seventh record?
Answer: -0.315 Ry per atom


Question: Which of these has the highest calculated volume?
Answer: SrLiEu4